Entry 1:
{
  "formula": "LiAcGe2Au4",
  "functional": "PBE",
  "state": "optimized geometry",
  "lattice": [[4.5931, 0.0000, 0.0000], [2.2965, 3.9777, 0.0000], [2.2965, 1.3259, 9.0507]],
  "species": ["Ac", "Au", "Au", "Au", "Au", "Li", "Ge", "Ge"],
  "frac_coords": [[0.0000, 0.0000, 0.0000], [0.8616, 0.8616, 0.4151], [0.5988, 0.5988, 0.2035], [0.1384, 0.1384, 0.5849], [0.4012, 0.4012, 0.7965], [0.5000, 0.5000, 0.5000], [0.2386, 0.2386, 0.2842], [0.7614, 0.7614, 0.7158]],
  "delta_e_f_ev_per_atom": -0.468
}



Entry 2:
{
  "formula": "CuIr2Rh4",
  "functional": "PBE",
  "state": "optimized geometry",
  "lattice": [[2.7009, 0.0000, 0.0000], [-1.3504, 6.3029, 0.0000], [0.0000, 0.0000, 12.1053]],
  "species": ["Ir", "Ir", "Ir", "Ir", "Rh", "Rh", "Rh", "Rh", "Rh", "Rh", "Rh", "Rh", "Cu", "Cu"],
  "frac_coords": [[0.8687, 0.7373, 0.8632], [0.1313, 0.2627, 0.1368], [0.8687, 0.7373, 0.6368], [0.1313, 0.2627, 0.3632], [0.1861, 0.3722, 0.9290], [0.8139, 0.6278, 0.4290], [0.5000, 0.0000, 0.0000], [0.1861, 0.3722, 0.5710], [0.9649, 0.9297, 0.2500], [0.0351, 0.0703, 0.7500], [0.5000, 0.0000, 0.5000], [0.8139, 0.6278, 0.0710], [0.7012, 0.4025, 0.7500], [0.2988, 0.5975, 0.2500]],
  "delta_e_f_ev_per_atom": 0.299
}



Entry 3:
{
  "formula": "Li2CdPd3",
  "functional": "PBE",
  "state": "optimized geometry",
  "lattice": [[4.3782, 0.0000, 0.0181], [2.1891, 6.5440, 0.0090], [-0.0260, 0.0000, 6.2888]],
  "species": ["Pd", "Pd", "Pd", "Pd", "Pd", "Pd", "Li", "Li", "Li", "Li", "Cd", "Cd"],
  "frac_coords": [[0.8368, 0.3263, 0.2707], [0.8368, 0.3263, 0.7293], [0.1632, 0.6737, 0.7293], [0.1632, 0.6737, 0.2707], [0.5000, 0.0000, 0.7277], [0.5000, 0.0000, 0.2723], [0.3308, 0.3383, 0.5000], [0.6692, 0.6617, 0.5000], [0.0000, 0.0000, 0.0000], [0.0000, 0.0000, 0.5000], [0.6643, 0.6715, 0.0000], [0.3357, 0.3285, 0.0000]],
  "delta_e_f_ev_per_atom": -0.427
}



Entry 4:
{
  "formula": "BeSiCl",
  "functional": "PBE",
  "state": "optimized geometry",
  "lattice": [[5.3438, 0.0000, 0.0005], [0.0000, 3.4866, 0.0000], [-1.5492, 0.0000, 6.4508]],
  "species": ["Cl", "Cl", "Si", "Si", "Be", "Be"],
  "frac_coords": [[0.0596, 0.0000, 0.6420], [0.6137, 0.5000, 0.7877], [0.6827, 0.5000, 0.2358], [0.4206, 0.0000, 0.2824], [0.6792, 0.0000, 0.6219], [0.0070, 0.0000, 0.3289]],
  "formation_energy_uncorrected_ev_per_atom": -0.23
}



Entry 5:
{
  "formula": "Pm2HoAu",
  "functional": "PBE",
  "state": "optimized geometry",
  "lattice": [[3.5544, 0.0000, 0.0000], [1.7772, 3.0782, 0.0000], [1.7772, 1.0261, 11.5201]],
  "species": ["Pm", "Pm", "Au", "Ho"],
  "frac_coords": [[0.9169, 0.9169, 0.2492], [0.0831, 0.0831, 0.7508], [0.0000, 0.0000, 0.0000], [0.5000, 0.5000, 0.5000]],
  "delta_e_f_ev_per_atom": 0.142
}



Entry 6:
{
  "formula": "LaIrO5",
  "functional": "PBE",
  "state": "optimized geometry",
  "lattice": [[5.5197, 0.1045, -1.6385], [-2.1642, 5.3213, -0.4042], [-1.0155, -0.5601, 7.8275]],
  "species": ["O", "O", "O", "O", "O", "O", "O", "O", "O", "O", "Ir", "Ir", "La", "La"],
  "frac_coords": [[0.4113, 0.2277, 0.6094], [0.8817, 0.1980, 0.1094], [0.5887, 0.7723, 0.3906], [0.3342, 0.0842, 0.2500], [0.2417, 0.2979, 0.9663], [0.7583, 0.7021, 0.0337], [0.1684, 0.7246, 0.4663], [0.6658, 0.9158, 0.7500], [0.1183, 0.8020, 0.8906], [0.8316, 0.2754, 0.5337], [0.0000, 0.0000, 0.0000], [0.5000, 0.0000, 0.5000], [0.7047, 0.4547, 0.2500], [0.2953, 0.5453, 0.7500]],
  "formation_energy_uncorrected_ev_per_atom": -1.53
}



Entry 7:
{
  "formula": "Ac8Pr3Y2",
  "functional": "PBE",
  "state": "optimized geometry",
  "lattice": [[-3.1058, 5.3058, 0.9119], [-5.8911, -4.8966, 8.4305], [1.1661, -1.2523, 11.2618]],
  "species": ["Y", "Y", "Ac", "Ac", "Ac", "Ac", "Ac", "Ac", "Ac", "Ac", "Pr", "Pr", "Pr"],
  "frac_coords": [[0.5000, 0.2408, 0.2408], [0.5000, 0.7592, 0.7592], [0.5000, 0.6030, 0.1835], [0.5000, 0.1835, 0.6030], [0.0000, 0.1333, 0.1333], [0.0000, 0.8667, 0.8667], [0.0000, 0.3254, 0.3254], [0.5000, 0.8165, 0.3970], [0.0000, 0.6746, 0.6746], [0.5000, 0.3970, 0.8165], [0.5000, 0.0000, 0.0000], [0.0000, 0.2928, 0.7072], [0.0000, 0.7072, 0.2928]],
  "delta_e_f_ev_per_atom": 0.208
}



Entry 8:
{
  "formula": "Mn2MoPt2",
  "functional": "PBE",
  "state": "optimized geometry",
  "lattice": [[7.3005, 0.0000, 0.0000], [0.0000, 7.3005, 0.0000], [0.0000, 0.0000, 2.6601]],
  "species": ["Mn", "Mn", "Mn", "Mn", "Mo", "Mo", "Pt", "Pt", "Pt", "Pt"],
  "frac_coords": [[0.8302, 0.3302, 0.5000], [0.3302, 0.1698, 0.5000], [0.6698, 0.8302, 0.5000], [0.1698, 0.6698, 0.5000], [0.0000, 0.0000, 0.0000], [0.5000, 0.5000, 0.0000], [0.1292, 0.3708, 0.0000], [0.8708, 0.6292, 0.0000], [0.6292, 0.1292, 0.0000], [0.3708, 0.8708, 0.0000]],
  "delta_e_f_ev_per_atom": 0.159
}



Entry 9:
{
  "formula": "HoGa2Cu",
  "functional": "PBE",
  "state": "optimized geometry",
  "lattice": [[3.2683, 0.0000, 0.0000], [0.0000, 3.2683, 0.0000], [0.0000, 0.0000, 6.7610]],
  "species": ["Ho", "Cu", "Ga", "Ga"],
  "frac_coords": [[0.5000, 0.5000, 0.5000], [0.5000, 0.5000, 0.0000], [0.0000, 0.0000, 0.8002], [0.0000, 0.0000, 0.1998]],
  "delta_e_f_ev_per_atom": -0.294
}



Entry 10:
{
  "formula": "Co2NiP",
  "functional": "PBE",
  "state": "optimized geometry",
  "lattice": [[2.6376, 0.0000, 0.0000], [0.0000, 3.3887, 0.0000], [0.0000, 0.0000, 4.8735]],
  "species": ["Co", "Co", "Ni", "P"],
  "frac_coords": [[0.5000, 0.5000, 0.2428], [0.0000, 0.0000, 0.0016], [0.0000, 0.0000, 0.5058], [0.5000, 0.5000, 0.7498]],
  "delta_e_f_ev_per_atom": -0.074
}



Entry 11:
{
  "formula": "K12SbAu6",
  "functional": "PBE",
  "state": "optimized geometry",
  "lattice": [[-4.1572, 9.0396, -0.1574], [-6.1731, -6.5639, -4.2226], [1.7533, -2.6810, 9.4213]],
  "species": ["Au", "Au", "Au", "Au", "Au", "Au", "K", "K", "K", "K", "K", "K", "K", "K", "K", "K", "K", "K", "Sb"],
  "frac_coords": [[0.5000, 0.1245, 0.6245], [0.8755, 0.3755, 0.5000], [0.3755, 0.5000, 0.8755], [0.6245, 0.5000, 0.1245], [0.5000, 0.8755, 0.3755], [0.1245, 0.6245, 0.5000], [0.8251, 0.2953, 0.1204], [0.8796, 0.1749, 0.7047], [0.2953, 0.1204, 0.8251], [0.7047, 0.8796, 0.1749], [0.4703, 0.1749, 0.2953], [0.2953, 0.4703, 0.1749], [0.5297, 0.8251, 0.7047], [0.1749, 0.2953, 0.4703], [0.7047, 0.5297, 0.8251], [0.1204, 0.8251, 0.2953], [0.1749, 0.7047, 0.8796], [0.8251, 0.7047, 0.5297], [0.0000, 0.0000, 0.0000]],
  "formation_energy_uncorrected_ev_per_atom": -0.26
}



Entry 12:
{
  "formula": "NaLiTc3",
  "functional": "PBE",
  "state": "optimized geometry",
  "lattice": [[4.2578, 0.0000, 0.0000], [0.0000, 4.2578, 0.0000], [0.0000, 0.0000, 4.2578]],
  "species": ["Li", "Na", "Tc", "Tc", "Tc"],
  "frac_coords": [[0.0000, 0.0000, 0.0000], [0.5000, 0.5000, 0.5000], [0.0000, 0.5000, 0.0000], [0.0000, 0.0000, 0.5000], [0.5000, 0.0000, 0.0000]],
  "delta_e_f_ev_per_atom": 1.595
}